No. 1
## CsAl2PdCl8 (PBE-GGA)

Data for an optimized crystal structure of CsAl2PdCl8.

Lattice parameters (Å, degrees): 10.439 10.439 10.439 36.27 36.27 36.27
Fractional coordinates of all 12 atoms:
Cs 0.000 0.000 0.000
Al 0.243 0.243 0.243
Al 0.757 0.757 0.757
Pd 0.500 0.500 0.500
Cl 0.099 0.774 0.462
Cl 0.226 0.538 0.901
Cl 0.317 0.317 0.317
Cl 0.462 0.099 0.774
Cl 0.538 0.901 0.226
Cl 0.683 0.683 0.683
Cl 0.774 0.462 0.099
Cl 0.901 0.226 0.538

Computed properties:
**Total DFT energy (no corrections)**: -3.7337 eV per atom
**Symmetry**: No. 148
**Volume**: 29.69 Å³ per atom
**Fermi-level density of states**: 0.5624 states/eV per atom
**ΔE_f (raw)**: -1.375 eV per atom
**Total magnetization**: 1.00 μB per formula unit

***

No. 2
## Ba2Mg (PBE-GGA)

Data for an optimized crystal structure of Ba2Mg.

Lattice parameters (Å, degrees): 7.523 7.523 7.523 60.00 60.00 60.00
Fractional coordinates of all 6 atoms:
Ba 0.000 0.000 0.000
Ba 0.000 0.000 0.500
Ba 0.000 0.500 0.000
Ba 0.500 0.000 0.000
Mg 0.375 0.375 0.375
Mg 0.625 0.625 0.625

Computed properties:
**Total DFT energy (no corrections)**: -1.4119 eV per atom
**Symmetry**: No. 227
**Volume**: 50.18 Å³ per atom
**Fermi-level density of states**: 1.7507 states/eV per atom
**Total magnetization**: 0.00 μB per formula unit

***

No. 3
## ZrMoC2 (PBE-GGA)

Data for an optimized crystal structure of ZrMoC2.

Lattice parameters (Å, degrees): 2.916 2.997 10.907 90.00 90.00 90.00
Fractional coordinates of all 8 atoms:
Zr 0.000 0.000 0.000
Zr 0.500 0.500 0.500
Mo 0.000 0.500 0.248
Mo 0.500 0.000 0.748
C 0.000 0.000 0.605
C 0.000 0.500 0.830
C 0.500 0.000 0.330
C 0.500 0.500 0.105

Computed properties:
**Excess energy over the best structure of this formula in the dataset**: 376.9 meV per atom
**Total DFT energy (no corrections)**: -9.4417 eV per atom
**Symmetry**: No. 44
**Volume**: 11.91 Å³ per atom
**Fermi-level density of states**: 0.5085 states/eV per atom
**Total magnetization**: 0.00 μB per formula unit

***

No. 4
## CsMgNiH2 (PBE-GGA)

Data for an optimized crystal structure of CsMgNiH2.

Lattice parameters (Å, degrees): 4.382 4.382 5.341 90.00 90.00 90.00
Fractional coordinates of all 5 atoms:
Cs 0.000 0.000 0.000
Mg 0.500 0.500 0.000
Ni 0.000 0.000 0.500
H 0.000 0.500 0.500
H 0.500 0.000 0.500

Computed properties:
**Total DFT energy (no corrections)**: -1.9667 eV per atom
**Symmetry**: No. 123
**Volume**: 20.51 Å³ per atom
**Fermi-level density of states**: 0.3937 states/eV per atom
**Total magnetization**: 0.00 μB per formula unit

***

No. 5
## SrCaCl (PBE-GGA)

Data for an optimized crystal structure of SrCaCl.

Lattice parameters (Å, degrees): 3.868 3.868 17.793 90.00 90.00 90.00
Fractional coordinates of all 6 atoms:
Sr 0.000 0.000 0.000
Sr 0.500 0.500 0.500
Ca 0.000 0.000 0.324
Ca 0.500 0.500 0.824
Cl 0.000 0.000 0.577
Cl 0.500 0.500 0.077

Computed properties:
**Excess energy over the best structure of this formula in the dataset**: 117.8 meV per atom
**Total DFT energy (no corrections)**: -2.7796 eV per atom
**Symmetry**: No. 107
**Volume**: 44.37 Å³ per atom
**Fermi-level density of states**: 0.9686 states/eV per atom
**ΔE_f (raw)**: -0.936 eV per atom
**Total magnetization**: 0.00 μB per formula unit

***

No. 6
## Tb2CdHg8 (PBE-GGA)

Data for an optimized crystal structure of Tb2CdHg8.

Lattice parameters (Å, degrees): 9.065 9.065 6.849 107.61 107.61 30.77
Fractional coordinates of all 11 atoms:
Tb 0.211 0.211 0.184
Tb 0.789 0.789 0.816
Cd 0.500 0.500 0.500
Hg 0.025 0.025 0.227
Hg 0.165 0.165 0.691
Hg 0.350 0.350 0.613
Hg 0.389 0.389 0.080
Hg 0.611 0.611 0.920
Hg 0.650 0.650 0.387
Hg 0.835 0.835 0.309
Hg 0.975 0.975 0.773

Computed properties:
**Excess energy over the best structure of this formula in the dataset**: 27.1 meV per atom
**Total DFT energy (no corrections)**: -1.3564 eV per atom
**Symmetry**: No. 12
**Volume**: 24.85 Å³ per atom
**Fermi-level density of states**: 0.5209 states/eV per atom
**Total magnetization**: 0.00 μB per formula unit

***

No. 7
## MgZn5N4 (PBE-GGA)

Data for an optimized crystal structure of MgZn5N4.

Lattice parameters (Å, degrees): 6.658 7.378 4.969 90.00 90.00 90.00
Fractional coordinates of all 20 atoms:
Mg 0.250 0.250 0.224
Mg 0.750 0.750 0.776
Zn 0.000 0.067 0.752
Zn 0.000 0.433 0.752
Zn 0.000 0.567 0.248
Zn 0.000 0.933 0.248
Zn 0.250 0.750 0.763
Zn 0.500 0.067 0.752
Zn 0.500 0.433 0.752
Zn 0.500 0.567 0.248
Zn 0.500 0.933 0.248
Zn 0.750 0.250 0.237
N 0.001 0.250 0.463
N 0.250 0.000 0.001
N 0.250 0.500 0.001
N 0.499 0.250 0.463
N 0.501 0.750 0.537
N 0.750 0.000 0.999
N 0.750 0.500 0.999
N 0.999 0.750 0.537

Computed properties:
**Total DFT energy (no corrections)**: -4.1291 eV per atom
**Symmetry**: No. 59
**Volume**: 12.21 Å³ per atom
**Fermi-level density of states**: 0.0545 states/eV per atom
**ΔE_f (raw)**: -0.002 eV per atom
**Total magnetization**: 0.00 μB per formula unit

***

No. 8
## K2Y2TeO6 (PBE-GGA)

Data for an optimized crystal structure of K2Y2TeO6.

Lattice parameters (Å, degrees): 5.962 5.962 6.653 98.20 98.20 119.83
Fractional coordinates of all 11 atoms:
K 0.164 0.836 0.000
K 0.836 0.164 0.000
Y 0.335 0.665 0.500
Y 0.665 0.335 0.500
Te 0.000 0.000 0.500
O 0.050 0.382 0.676
O 0.262 0.262 0.324
O 0.382 0.050 0.676
O 0.618 0.950 0.324
O 0.738 0.738 0.676
O 0.950 0.618 0.324

Computed properties:
**Total DFT energy (no corrections)**: -6.6362 eV per atom
**Symmetry**: No. 12
**Volume**: 17.88 Å³ per atom
**Fermi-level density of states**: 0.0000 states/eV per atom
**ΔE_f (raw)**: -2.271 eV per atom
**Total magnetization**: 0.00 μB per formula unit

***

No. 9
## FeCuSb (PBE-GGA)

Data for an optimized crystal structure of FeCuSb.

Lattice parameters (Å, degrees): 3.390 3.390 7.976 90.00 90.00 90.00
Fractional coordinates of all 6 atoms:
Fe 0.000 0.000 0.000
Fe 0.500 0.500 0.500
Cu 0.000 0.000 0.339
Cu 0.500 0.500 0.839
Sb 0.000 0.000 0.663
Sb 0.500 0.500 0.163

Computed properties:
**Total DFT energy (no corrections)**: -5.2802 eV per atom
**Symmetry**: No. 107
**Volume**: 15.28 Å³ per atom
**Fermi-level density of states**: 1.3067 states/eV per atom
**ΔE_f (raw)**: 0.280 eV per atom
**Total magnetization**: 1.63 μB per formula unit

***

No. 10
## CdGeAsO6 (PBE-GGA)

Data for an optimized crystal structure of CdGeAsO6.

Lattice parameters (Å, degrees): 5.011 5.011 9.711 90.00 90.00 120.00
Fractional coordinates of all 18 atoms:
Cd 0.000 0.000 0.000
Cd 0.000 0.000 0.500
Ge 0.333 0.667 0.250
Ge 0.667 0.333 0.750
As 0.333 0.667 0.750
As 0.667 0.333 0.250
O 0.008 0.375 0.644
O 0.008 0.633 0.856
O 0.367 0.375 0.856
O 0.367 0.992 0.644
O 0.375 0.008 0.144
O 0.375 0.367 0.356
O 0.625 0.633 0.644
O 0.625 0.992 0.856
O 0.633 0.008 0.356
O 0.633 0.625 0.144
O 0.992 0.367 0.144
O 0.992 0.625 0.356

Computed properties:
**Total DFT energy (no corrections)**: -5.6141 eV per atom
**Symmetry**: No. 163
**Volume**: 11.73 Å³ per atom
**Fermi-level density of states**: 0.6869 states/eV per atom
**ΔE_f (raw)**: -1.177 eV per atom
**Total magnetization**: 1.06 μB per formula unit

***

No. 11
## TaRuAu (PBE-GGA)

Data for an optimized crystal structure of TaRuAu.

Lattice parameters (Å, degrees): 3.336 3.336 9.022 90.00 90.00 90.00
Fractional coordinates of all 6 atoms:
Ta 0.000 0.000 0.000
Ta 0.500 0.500 0.500
Ru 0.000 0.000 0.636
Ru 0.500 0.500 0.136
Au 0.000 0.000 0.321
Au 0.500 0.500 0.821

Computed properties:
**Excess energy over the best structure of this formula in the dataset**: 0.0 meV per atom
**Total DFT energy (no corrections)**: -8.3133 eV per atom
**Symmetry**: No. 107
**Volume**: 16.73 Å³ per atom
**Fermi-level density of states**: 0.1452 states/eV per atom
**Total magnetization**: 0.00 μB per formula unit

***

No. 12
## MgSiN3 (PBE-GGA)

Data for an optimized crystal structure of MgSiN3.

Lattice parameters (Å, degrees): 3.595 3.595 3.595 90.00 90.00 90.00
Fractional coordinates of all 5 atoms:
Mg 0.000 0.000 0.000
Si 0.500 0.500 0.500
N 0.000 0.500 0.500
N 0.500 0.000 0.500
N 0.500 0.500 0.000

Computed properties:
**Total DFT energy (no corrections)**: -6.1471 eV per atom
**Symmetry**: No. 221
**Volume**: 9.29 Å³ per atom
**Fermi-level density of states**: 0.6768 states/eV per atom
**ΔE_f (raw)**: 0.252 eV per atom
**Total magnetization**: 0.70 μB per formula unit